Entry 1:
Computed, not measured: a relaxed Pb3Br2O2 crystal at the PBE level of DFT.

Properties
Total magnetization in μB/f.u.: 0.000
Energy relative to the elements, uncorrected in eV per atom: -1.053

Cell lengths 13.7982, 3.9831, 8.4729 Å; angles 90.00, 123.49, 90.00 degrees
Last column: nearest neighbours and their distance in Å.
Space group C2/m (No. 12)
One atom of each set of equivalent atoms:
Pb: 0.0000 0.0000 0.0000 [2 per cell]  2 O 2.50
Pb: 0.1877 0.0000 0.7862 [4 per cell]  3 O 2.30-2.40
Br: 0.0599 0.5000 0.3187 [4 per cell]  2 Pb 3.08
O: 0.2013 0.0000 0.0692 [4 per cell]  4 Pb 2.30-2.50

Entry 2:
Computed, not measured: a relaxed Pb4Br3O2 crystal at the PBE level of DFT.

Properties
Total magnetization in μB/f.u.: 0.000
Energy relative to the elements, uncorrected in eV per atom: -0.889

Cell lengths 15.3064, 11.1388, 6.5071 Å; angles 90.00, 92.49, 90.00 degrees
Last column: nearest neighbours and their distance in Å.
Space group C2/c (No. 15)
One atom of each set of equivalent atoms:
Pb: 0.1440 0.1883 0.4651 [8 per cell]  2 O 2.26-2.30
Pb: 0.1663 0.4493 0.9446 [8 per cell]  1 O 2.33
Br: 0.0000 0.4116 0.2500 [4 per cell]  6 Pb 3.19-3.57
Br: 0.1408 0.1271 0.9368 [8 per cell]  3 Pb 3.14-3.50
O: 0.2144 0.3636 0.5605 [8 per cell]  3 Pb 2.26-2.33

Entry 3:
Computed, not measured: a relaxed PbBr2O2 crystal at the PBE level of DFT.

Properties
Total magnetization in μB/f.u.: 1.964
Energy relative to the elements, uncorrected in eV per atom: -0.541

Cell lengths 7.7657, 4.4903, 9.9815 Å; angles 90.00, 95.70, 90.00 degrees
Last column: nearest neighbours and their distance in Å.
Space group C2/m (No. 12)
One atom of each set of equivalent atoms:
Pb: 0.0000 0.0000 0.0000 [2 per cell]  6 Br 3.08
Br: 0.1453 0.5000 0.8324 [4 per cell]  3 Pb 3.08
O: 0.0536 0.0000 0.4584 [4 per cell]  1 O 1.23